(1)
First-principles (PBE-GGA) data for PrTe after structural relaxation, as listed in OQMD.

Cell lengths 4.531, 4.531, 4.531 Å; angles 60.00, 60.00, 60.00 degrees
Sites, in units of the cell vectors:
Pr 0.000 0.000 0.000
Te 0.500 0.500 0.500

Values from the calculation:
Volume ... 32.9 Å³ per atom
Total magnetization ... 0.00 μB/f.u.
Uncorrected energy ... -10.802 eV for the cell shown
Mass density ... 6.8 g cm⁻³

---

(2)
First-principles (PBE-GGA) data for SrTbTl after structural relaxation, as listed in OQMD.

Cell lengths 5.432, 5.432, 5.432 Å; angles 60.00, 60.00, 60.00 degrees
Sites, in units of the cell vectors:
Sr 0.250 0.250 0.250
Tb 0.750 0.750 0.750
Tl 0.000 0.000 0.000

Values from the calculation:
Volume ... 37.8 Å³ per atom
Total magnetization ... 0.00 μB/f.u.
Uncorrected energy ... -8.840 eV for the cell shown
Mass density ... 6.6 g cm⁻³

---

(3)
First-principles (PBE-GGA) data for PtS6F2 after structural relaxation, as listed in OQMD.

Cell lengths 4.116, 6.776, 7.147 Å; angles 68.22, 76.49, 85.06 degrees
Sites, in units of the cell vectors:
F 0.685 0.109 0.198
F 0.315 0.891 0.802
Pt 0.000 0.000 0.000
S 0.011 0.468 0.244
S 0.182 0.744 0.267
S 0.179 0.235 0.473
S 0.821 0.765 0.527
S 0.818 0.256 0.733
S 0.990 0.532 0.756

Values from the calculation:
Volume ... 20.0 Å³ per atom
Total magnetization ... 0.00 μB/f.u.
Uncorrected energy ... -37.961 eV for the cell shown
Mass density ... 3.9 g cm⁻³

---

(4)
First-principles (PBE-GGA) data for AlFeTeH6 after structural relaxation, as listed in OQMD.

Cell lengths 4.745, 4.745, 4.745 Å; angles 60.00, 60.00, 60.00 degrees
Site moments in Bohr magnetons follow the coordinates.
Sites, in units of the cell vectors:
Al 0.000 0.000 0.000  0.00
Fe 0.250 0.250 0.250  3.07
H 0.739 0.261 0.261  0.01
H 0.261 0.739 0.261  0.01
H 0.739 0.739 0.261  0.01
H 0.261 0.261 0.739  0.02
H 0.739 0.261 0.739  0.01
H 0.261 0.739 0.739  0.01
Te 0.750 0.750 0.750  -0.05

Values from the calculation:
Volume ... 8.4 Å³ per atom
Total magnetization ... 3.10 μB/f.u.
Uncorrected energy ... -28.977 eV for the cell shown
Mass density ... 4.8 g cm⁻³

---

(5)
First-principles (PBE-GGA) data for Er2CuS3 after structural relaxation, as listed in OQMD.

Cell lengths 6.525, 6.525, 10.073 Å; angles 90.00, 90.00, 146.87 degrees
Sites, in units of the cell vectors:
Cu 0.020 0.980 0.250
Cu 0.980 0.020 0.750
Er 0.500 0.500 0.000
Er 0.729 0.271 0.250
Er 0.500 0.500 0.500
Er 0.271 0.729 0.750
S 0.144 0.856 0.078
S 0.402 0.598 0.250
S 0.144 0.856 0.422
S 0.856 0.144 0.578
S 0.598 0.402 0.750
S 0.856 0.144 0.922

Values from the calculation:
Volume ... 19.5 Å³ per atom
Total magnetization ... 0.00 μB/f.u.
Uncorrected energy ... -68.659 eV for the cell shown
Mass density ... 7.0 g cm⁻³

---

(6)
First-principles (PBE-GGA) data for BaScTa2 after structural relaxation, as listed in OQMD.

Cell lengths 5.076, 5.076, 5.076 Å; angles 60.00, 60.00, 60.00 degrees
Sites, in units of the cell vectors:
Ba 0.250 0.250 0.250
Sc 0.000 0.000 0.000
Ta 0.500 0.500 0.500
Ta 0.750 0.750 0.750

Values from the calculation:
Volume ... 23.1 Å³ per atom
Total magnetization ... 0.81 μB/f.u.
Uncorrected energy ... -28.253 eV for the cell shown
Mass density ... 9.8 g cm⁻³